Below is crystalline TlCd2Ir at its relaxed geometry, with properties calculated at the PBE level.

Cell and atoms, written as CIF:
```
data_TlCd2Ir
_chemical_formula_sum 'Tl1 Cd2 Ir1'
_symmetry_space_group_name_H-M 'P 1'
_symmetry_Int_Tables_number 1
_cell_length_a 5.2849
_cell_length_b 5.2849
_cell_length_c 5.2849
_cell_angle_alpha 132.53
_cell_angle_beta 132.53
_cell_angle_gamma 69.39
loop_
_symmetry_equiv_pos_as_xyz
'x,y,z'
loop_
_atom_site_label
_atom_site_type_symbol
_atom_site_fract_x
_atom_site_fract_y
_atom_site_fract_z
Tl1 Tl 0.7500 0.2500 0.5000
Ir1 Ir 0.5000 0.5000 0.0000
Cd1 Cd 0.0000 0.0000 0.0000
Cd2 Cd 0.2500 0.7500 0.5000
```

Properties
- DOS at the Fermi energy: 0.34 states/eV per atom
- Energy of formation: 0.262 eV/atom
- Size of the total moment: 0.00 μB per formula unit